VASP calculation (PBE) on crystalline CdCoGePb2 at its relaxed geometry.

It has space group P4/mmm (No. 123), with a = 4.989 Å, b = 4.989 Å, c = 5.087 Å, α = 90.00°, β = 90.00° and γ = 90.00°. The distinct sites, in fractional coordinates, are Cd at (0.000, 0.000, 0.000), Co at (0.000, 0.000, 0.500), Ge at (0.500, 0.500, 0.000) and Pb at (0.000, 0.500, 0.500).

For the total energy, the calculation gives -18.002 eV/cell. For the formation energy, the calculation gives 40 kJ per mole of atoms. Its total magnetic moment is 0.00 μB per cell.

---

VASP calculation (PBE) on crystalline CdCo2GePb at its relaxed geometry.

It has space group P4/mmm (No. 123), with a = 4.891 Å, b = 4.891 Å, c = 5.426 Å, α = 90.00°, β = 90.00° and γ = 90.00°. The distinct sites, in fractional coordinates, are Cd at (0.000, 0.000, 0.000), Co at (0.000, 0.500, 0.500), Ge at (0.500, 0.500, 0.000) and Pb at (0.500, 0.500, 0.500).

For the total energy, the calculation gives -16.863 eV/cell. For the formation energy, the calculation gives 127 kJ per mole of atoms. Its total magnetic moment is 3.39 μB per cell.

---

VASP calculation (PBE) on crystalline CdCoGePd2 at its relaxed geometry.

It has space group P4/mmm (No. 123), with a = 4.943 Å, b = 4.943 Å, c = 4.708 Å, α = 90.00°, β = 90.00° and γ = 90.00°. The distinct sites, in fractional coordinates, are Cd at (0.000, 0.000, 0.000), Co at (0.000, 0.000, 0.500), Ge at (0.500, 0.500, 0.500) and Pd at (0.000, 0.500, 0.000).

For the total energy, the calculation gives -17.320 eV/cell. For the formation energy, the calculation gives 110 kJ per mole of atoms. Its total magnetic moment is 1.82 μB per cell.

---

VASP calculation (PBE) on crystalline CdCo2GeRh at its relaxed geometry.

It has space group P4/mmm (No. 123), with a = 4.291 Å, b = 4.291 Å, c = 4.887 Å, α = 90.00°, β = 90.00° and γ = 90.00°. The distinct sites, in fractional coordinates, are Cd at (0.000, 0.000, 0.000), Co at (0.000, 0.500, 0.500), Ge at (0.000, 0.000, 0.500) and Rh at (0.500, 0.500, 0.000).

For the total energy, the calculation gives -22.241 eV/cell. For the formation energy, the calculation gives 94 kJ per mole of atoms. Its total magnetic moment is 3.03 μB per cell.

---

VASP calculation (PBE) on crystalline SrCd2CoGe at its relaxed geometry.

It has space group P4/mmm (No. 123), with a = 5.063 Å, b = 5.063 Å, c = 4.557 Å, α = 90.00°, β = 90.00° and γ = 90.00°. The distinct sites, in fractional coordinates, are Sr at (0.000, 0.000, 0.000), Cd at (0.000, 0.500, 0.500), Co at (0.500, 0.500, 0.500) and Ge at (0.500, 0.500, 0.000).

For the total energy, the calculation gives -16.024 eV/cell. For the formation energy, the calculation gives -15 kJ per mole of atoms. Its total magnetic moment is 0.67 μB per cell.

---

VASP calculation (PBE) on crystalline SrCdCoGe at its relaxed geometry.

It has space group P4/nmm (No. 129, origin choice 2), with a = 4.040 Å, b = 4.040 Å, c = 11.661 Å, α = 90.00°, β = 90.00° and γ = 90.00°. The distinct sites, in fractional coordinates, are Sr at (0.250, 0.250, 0.230), Cd at (0.250, 0.750, 0.500), Co at (0.250, 0.750, 0.000) and Ge at (0.250, 0.250, 0.896).

For the total energy, the calculation gives -31.208 eV/cell. For the formation energy, the calculation gives -31 kJ per mole of atoms. Its total magnetic moment is 0.00 μB per cell.